Model P:
Below is TlHgPb after structural relaxation, with properties calculated at the GGA-PBE level.

Cell: 5.5475 5.5475 3.3644 Å, 90.00 90.00 120.00°
Space group P3m1 (No. 156)
One atom of each set of equivalent atoms:
Tl 0.0000 0.0000 0.0000 (multiplicity 1)
Hg 0.6667 0.3333 0.4941 (multiplicity 1)
Pb 0.3333 0.6667 0.5009 (multiplicity 1)



Model Q:
Below is TlHgPb after structural relaxation, with properties calculated at the GGA-PBE level.

Cell: 3.5017 3.5017 14.2818 Å, 90.00 90.00 90.00°
Space group I4mm (No. 107)
One atom of each set of equivalent atoms:
Tl 0.0000 0.0000 0.0000 (multiplicity 2)
Hg 0.0000 0.0000 0.3378 (multiplicity 2)
Pb 0.0000 0.0000 0.6795 (multiplicity 2)



Most stable: model P (next structure +0.038 eV/atom)



Model P:
Below is Tl2Hg5Pb after structural relaxation, with properties calculated at the GGA-PBE level.

Cell: 8.6415 8.6415 12.2854 Å, 90.00 90.00 90.00°
Space group I4/mcm (No. 140)
One atom of each set of equivalent atoms:
Tl 0.1494 0.3506 0.0000 (multiplicity 8)
Hg 0.0000 0.0000 0.0000 (multiplicity 4)
Hg 0.1489 0.3511 0.3280 (multiplicity 16)
Pb 0.0000 0.0000 0.2500 (multiplicity 4)



Model Q:
Below is Tl2Hg5Pb after structural relaxation, with properties calculated at the GGA-PBE level.

Cell: 5.1203 5.1203 17.1002 Å, 90.00 90.00 90.00°
Space group I4/mmm (No. 139)
One atom of each set of equivalent atoms:
Tl 0.0000 0.0000 0.2423 (multiplicity 4)
Hg 0.0000 0.0000 0.5000 (multiplicity 2)
Hg 0.0000 0.5000 0.1212 (multiplicity 8)
Pb 0.0000 0.0000 0.0000 (multiplicity 2)



Most stable: model P (next structure +0.009 eV/atom)



Model P:
Below is Tl6HgPb after structural relaxation, with properties calculated at the GGA-PBE level.

Cell: 5.7027 7.4752 11.4229 Å, 90.00 90.00 90.00°
Space group Amm2 (No. 38)
One atom of each set of equivalent atoms:
Tl 0.0000 0.0000 0.0000 (multiplicity 2)
Tl 0.0000 0.0000 0.4727 (multiplicity 2)
Tl 0.0000 0.2321 0.7372 (multiplicity 4)
Tl 0.5000 0.2409 0.5353 (multiplicity 4)
Hg 0.5000 0.0000 0.7945 (multiplicity 2)
Pb 0.5000 0.0000 0.2790 (multiplicity 2)



Model Q:
Below is Tl6HgPb after structural relaxation, with properties calculated at the GGA-PBE level.

Cell: 9.7874 9.7874 10.0818 Å, 90.00 90.00 120.00°
Space group R-3m (No. 166, hexagonal axes)
One atom of each set of equivalent atoms:
Tl 0.0653 0.5326 0.3549 (multiplicity 18)
Hg 0.0000 0.0000 0.5000 (multiplicity 3)
Pb 0.0000 0.0000 0.0000 (multiplicity 3)



Most stable: model P (next structure +0.143 eV/atom)



Model P:
Below is Tl3Hg4Pb after structural relaxation, with properties calculated at the GGA-PBE level.

Cell: 6.4107 11.5077 6.4463 Å, 90.00 90.00 90.00°
Space group Imm2 (No. 44)
One atom of each set of equivalent atoms:
Tl 0.0000 0.0000 0.0000 (multiplicity 2)
Tl 0.0000 0.2682 0.7757 (multiplicity 4)
Hg 0.0000 0.2359 0.2762 (multiplicity 4)
Hg 0.2455 0.0000 0.4970 (multiplicity 4)
Pb 0.0000 0.5000 0.4455 (multiplicity 2)



Model Q:
Below is Tl3Hg4Pb after structural relaxation, with properties calculated at the GGA-PBE level.

Cell: 3.5292 3.5292 18.3957 Å, 90.00 90.00 90.00°
Space group P4/mmm (No. 123)
One atom of each set of equivalent atoms:
Tl 0.0000 0.0000 0.0000 (multiplicity 1)
Tl 0.0000 0.0000 0.2552 (multiplicity 2)
Hg 0.5000 0.5000 0.1259 (multiplicity 2)
Hg 0.5000 0.5000 0.3775 (multiplicity 2)
Pb 0.0000 0.0000 0.5000 (multiplicity 1)



Most stable: model Q (next structure +0.028 eV/atom)



Model P:
Below is Tl3HgPb3 after structural relaxation, with properties calculated at the GGA-PBE level.

Cell: 9.8984 5.8736 9.9030 Å, 90.00 119.98 90.00°
Space group P2_1/m (No. 11)
One atom of each set of equivalent atoms:
Tl 0.0580 0.2500 0.2799 (multiplicity 2)
Tl 0.2782 0.7500 0.0580 (multiplicity 2)
Tl 0.2796 0.7500 0.7216 (multiplicity 2)
Hg 0.1673 0.2500 0.8346 (multiplicity 2)
Pb 0.2673 0.7500 0.3840 (multiplicity 2)
Pb 0.3835 0.2500 0.2678 (multiplicity 2)
Pb 0.3841 0.2500 0.6168 (multiplicity 2)



Model Q:
Below is Tl3HgPb3 after structural relaxation, with properties calculated at the GGA-PBE level.

Cell: 8.5709 8.5709 8.5709 Å, 90.00 90.00 90.00°
Space group Pm-3n (No. 223)
One atom of each set of equivalent atoms:
Tl 0.0000 0.2500 0.5000 (multiplicity 6)
Hg 0.0000 0.0000 0.0000 (multiplicity 2)
Pb 0.0000 0.5000 0.2500 (multiplicity 6)



Most stable: model P (next structure +0.281 eV/atom)



Model P:
Below is Tl5HgPb after structural relaxation, with properties calculated at the GGA-PBE level.

Cell: 11.9073 6.6394 11.5115 Å, 90.00 102.03 90.00°
Space group C2/c (No. 15)
One atom of each set of equivalent atoms:
Tl 0.0000 0.1864 0.2500 (multiplicity 4)
Tl 0.1456 0.4336 0.0338 (multiplicity 8)
Tl 0.2339 0.1062 0.6794 (multiplicity 8)
Hg 0.0000 0.0000 0.0000 (multiplicity 4)
Pb 0.0000 0.3225 0.7500 (multiplicity 4)



Model Q:
Below is Tl5HgPb after structural relaxation, with properties calculated at the GGA-PBE level.

Cell: 5.8575 21.7945 7.0138 Å, 90.00 91.69 90.00°
Space group C2/c (No. 15)
One atom of each set of equivalent atoms:
Tl 0.0000 0.1446 0.2500 (multiplicity 4)
Tl 0.0039 0.2984 0.4871 (multiplicity 8)
Tl 0.2298 0.0360 0.6130 (multiplicity 8)
Hg 0.0000 0.4194 0.7500 (multiplicity 4)
Pb 0.0000 0.1701 0.7500 (multiplicity 4)



Most stable: model Q (next structure +0.009 eV/atom)



Model P:
Below is Tl5Hg3Pb after structural relaxation, with properties calculated at the GGA-PBE level.

Cell: 15.9196 7.3936 10.6948 Å, 90.00 109.83 90.00°
Space group C2/c (No. 15)
One atom of each set of equivalent atoms:
Tl 0.0000 0.2423 0.2500 (multiplicity 4)
Tl 0.1668 0.2602 0.0862 (multiplicity 8)
Tl 0.1694 0.2548 0.5836 (multiplicity 8)
Hg 0.0000 0.0000 0.0000 (multiplicity 4)
Hg 0.1629 0.4922 0.8327 (multiplicity 8)
Pb 0.0000 0.2264 0.7500 (multiplicity 4)



Model Q:
Below is Tl5Hg3Pb after structural relaxation, with properties calculated at the GGA-PBE level.

Cell: 9.6353 9.6353 6.6447 Å, 90.00 90.00 120.00°
Space group P6_3/mcm (No. 193)
One atom of each set of equivalent atoms:
Tl 0.0000 0.3460 0.2500 (multiplicity 6)
Tl 0.3333 0.6667 0.0000 (multiplicity 4)
Hg 0.0000 0.3190 0.7500 (multiplicity 6)
Pb 0.0000 0.0000 0.0000 (multiplicity 2)



Most stable: model Q (next structure +0.059 eV/atom)



Model P:
Below is Tl4Hg5Pb after structural relaxation, with properties calculated at the GGA-PBE level.

Cell: 3.4137 3.4137 24.4698 Å, 90.00 90.00 90.00°
Space group P4/mmm (No. 123)
One atom of each set of equivalent atoms:
Tl 0.0000 0.0000 0.1010 (multiplicity 2)
Tl 0.0000 0.0000 0.3026 (multiplicity 2)
Hg 0.5000 0.5000 0.0000 (multiplicity 1)
Hg 0.5000 0.5000 0.2013 (multiplicity 2)
Hg 0.5000 0.5000 0.4001 (multiplicity 2)
Pb 0.0000 0.0000 0.5000 (multiplicity 1)



Model Q:
Below is Tl4Hg5Pb after structural relaxation, with properties calculated at the GGA-PBE level.

Cell: 3.9939 3.9939 18.0589 Å, 90.00 90.00 90.00°
Space group P4/mmm (No. 123)
One atom of each set of equivalent atoms:
Tl 0.0000 0.0000 0.0997 (multiplicity 2)
Tl 0.0000 0.0000 0.3005 (multiplicity 2)
Hg 0.5000 0.5000 0.0000 (multiplicity 1)
Hg 0.5000 0.5000 0.1984 (multiplicity 2)
Hg 0.5000 0.5000 0.3991 (multiplicity 2)
Pb 0.0000 0.0000 0.5000 (multiplicity 1)



Most stable: model Q (next structure +0.005 eV/atom)